## Li3TiCr3O8 (PBE+U)

Data for a relaxed structure of Li3TiCr3O8.

Properties
crystal system = trigonal
relative energy among the computed polymorphs = 0 meV/atom

Unit cell a=5.9431 b=5.9431 c=5.9926 alpha=60.27 beta=60.27 gamma=60.00
Last column: nearest neighbours and their distance in Å.
Fractional coordinates of all 15 atoms:
1 Cr 0.5000 0.0000 0.0000  6 O 2.03-2.04
2 Cr 0.5000 0.5000 0.0000  6 O 2.03-2.04
3 Cr 0.0000 0.5000 0.0000  6 O 2.03-2.04
4 O 0.7404 0.7404 0.7789  3 Cr 2.03, 3 Li 2.20
5 O 0.7667 0.7667 0.2163  1 Ti 1.97, 2 Cr 2.04, 2 Li 2.19
6 O 0.2596 0.2596 0.2211  3 Cr 2.03, 3 Li 2.20
7 O 0.7496 0.2333 0.7837  1 Ti 1.97, 2 Cr 2.04, 2 Li 2.19
8 O 0.2504 0.7667 0.2163  1 Ti 1.97, 2 Cr 2.04, 2 Li 2.19
9 O 0.7667 0.2504 0.2163  1 Ti 1.97, 2 Cr 2.04, 2 Li 2.19
10 O 0.2333 0.7496 0.7837  1 Ti 1.97, 2 Cr 2.04, 2 Li 2.19
11 O 0.2333 0.2333 0.7837  1 Ti 1.97, 2 Cr 2.04, 2 Li 2.19
12 Li 0.5000 0.0000 0.5000  6 O 2.19-2.20
13 Li 0.0000 0.5000 0.5000  6 O 2.19-2.20
14 Li 0.0000 0.0000 0.5000  6 O 2.19-2.20
15 Ti 0.0000 0.0000 0.0000  6 O 1.97